Entry 1:
# KP4Ru PBE relaxed
data_KP4Ru
_symmetry_space_group_name_H-M 'F -4 3 m'
_symmetry_Int_Tables_number 216
_symmetry_space_group_name_Hall 'F -4 2 3'
_cell_length_a 7.622
_cell_length_b 7.622
_cell_length_c 7.622
_cell_angle_alpha 90.00
_cell_angle_beta 90.00
_cell_angle_gamma 90.00
loop_
_atom_site_label
_atom_site_fract_x
_atom_site_fract_y
_atom_site_fract_z
K1 0.000 0.000 0.000
P1 0.108 0.108 0.608
Ru1 0.250 0.250 0.250
# ρ: 3961 kg/m³
# DFT formation energy: 0.68 eV per atom
# Magnetic moment: 0.314 μB/atom

---

Entry 2:
# CaHf2Sb2 PBE relaxed
data_CaHf2Sb2
_symmetry_space_group_name_H-M 'P 4/m b m'
_symmetry_Int_Tables_number 127
_symmetry_space_group_name_Hall '-P 4 2ab'
_cell_length_a 8.072
_cell_length_b 8.072
_cell_length_c 3.779
_cell_angle_alpha 90.00
_cell_angle_beta 90.00
_cell_angle_gamma 90.00
loop_
_atom_site_label
_atom_site_fract_x
_atom_site_fract_y
_atom_site_fract_z
Ca1 0.000 0.000 0.000
Hf1 0.139 0.361 0.500
Sb1 0.149 0.649 0.000
# Excess energy over the best structure of this formula in the dataset: 0.023 eV/atom
# ρ: 8639 kg/m³
# Magnetic moment: 0.000 μB/atom

---

Entry 3:
# KBiAs2Pt4 PBE relaxed
data_KBiAs2Pt4
_symmetry_space_group_name_H-M 'P 4/m m m'
_symmetry_Int_Tables_number 123
_symmetry_space_group_name_Hall '-P 4 2'
_cell_length_a 4.159
_cell_length_b 4.159
_cell_length_c 10.592
_cell_angle_alpha 90.00
_cell_angle_beta 90.00
_cell_angle_gamma 90.00
loop_
_atom_site_label
_atom_site_fract_x
_atom_site_fract_y
_atom_site_fract_z
K1 0.000 0.000 0.000
Bi1 0.000 0.000 0.500
As1 0.500 0.500 0.181
Pt1 0.000 0.500 0.304
# ρ: 10680 kg/m³
# DFT formation energy: -0.33 eV per atom
# Magnetic moment: 0.000 μB/atom

---

Entry 4:
# ErPaNi6 PBE relaxed
data_ErPaNi6
_symmetry_space_group_name_H-M 'P m m 2'
_symmetry_Int_Tables_number 25
_symmetry_space_group_name_Hall 'P 2 -2'
_cell_length_a 4.190
_cell_length_b 5.446
_cell_length_c 5.084
_cell_angle_alpha 90.00
_cell_angle_beta 90.00
_cell_angle_gamma 90.00
loop_
_atom_site_label
_atom_site_fract_x
_atom_site_fract_y
_atom_site_fract_z
Er1 0.000 0.000 0.000
Pa1 0.500 0.500 0.283
Ni1 0.000 0.238 0.497
Ni2 0.000 0.500 0.904
Ni3 0.500 0.000 0.387
Ni4 0.500 0.275 0.782
# ρ: 10742 kg/m³
# DFT formation energy: -0.40 eV per atom
# Magnetic moment: 0.000 μB/atom

---

Entry 5:
# Zr2CoCu PBE relaxed
data_Zr2CoCu
_symmetry_space_group_name_H-M 'I m m m'
_symmetry_Int_Tables_number 71
_symmetry_space_group_name_Hall '-I 2 2'
_cell_length_a 2.873
_cell_length_b 4.961
_cell_length_c 10.311
_cell_angle_alpha 90.00
_cell_angle_beta 90.00
_cell_angle_gamma 90.00
loop_
_atom_site_label
_atom_site_fract_x
_atom_site_fract_y
_atom_site_fract_z
Zr1 0.000 0.000 0.234
Co1 0.000 0.000 0.000
Cu1 0.000 0.000 0.500
# ρ: 6890 kg/m³
# DFT formation energy: 0.68 eV per atom
# Magnetic moment: 0.157 μB/atom

---

Entry 6:
# CeGaPbAu PBE relaxed
data_CeGaPbAu
_symmetry_space_group_name_H-M 'F -4 3 m'
_symmetry_Int_Tables_number 216
_symmetry_space_group_name_Hall 'F -4 2 3'
_cell_length_a 7.262
_cell_length_b 7.262
_cell_length_c 7.262
_cell_angle_alpha 90.00
_cell_angle_beta 90.00
_cell_angle_gamma 90.00
loop_
_atom_site_label
_atom_site_fract_x
_atom_site_fract_y
_atom_site_fract_z
Ce1 0.000 0.000 0.000
Ga1 0.250 0.250 0.250
Pb1 0.000 0.000 0.500
Au1 0.250 0.250 0.750
# ρ: 10647 kg/m³
# DFT formation energy: -0.40 eV per atom
# Magnetic moment: 0.177 μB/atom

---

Entry 7:
# GaC2S PBE relaxed
data_GaC2S
_symmetry_space_group_name_H-M 'I -4 2 d'
_symmetry_Int_Tables_number 122
_symmetry_space_group_name_Hall 'I -4 2bw'
_cell_length_a 4.478
_cell_length_b 4.478
_cell_length_c 8.985
_cell_angle_alpha 90.00
_cell_angle_beta 90.00
_cell_angle_gamma 90.00
loop_
_atom_site_label
_atom_site_fract_x
_atom_site_fract_y
_atom_site_fract_z
Ga1 0.000 0.000 0.000
C1 0.213 0.250 0.625
S1 0.000 0.000 0.500
# Excess energy over the best structure of this formula in the dataset: 0.000 eV/atom
# ρ: 4639 kg/m³
# Magnetic moment: 0.000 μB/atom

---

Entry 8:
# YAlZnPd PBE relaxed
data_YAlZnPd
_symmetry_space_group_name_H-M 'F -4 3 m'
_symmetry_Int_Tables_number 216
_symmetry_space_group_name_Hall 'F -4 2 3'
_cell_length_a 6.641
_cell_length_b 6.641
_cell_length_c 6.641
_cell_angle_alpha 90.00
_cell_angle_beta 90.00
_cell_angle_gamma 90.00
loop_
_atom_site_label
_atom_site_fract_x
_atom_site_fract_y
_atom_site_fract_z
Y1 0.000 0.000 0.000
Al1 0.000 0.000 0.500
Zn1 0.250 0.250 0.750
Pd1 0.250 0.250 0.250
# ρ: 6524 kg/m³
# DFT formation energy: -0.62 eV per atom
# Magnetic moment: 0.000 μB/atom

---

Entry 9:
# LiMg12In3 PBE relaxed
data_LiMg12In3
_symmetry_space_group_name_H-M 'P 4/m m m'
_symmetry_Int_Tables_number 123
_symmetry_space_group_name_Hall '-P 4 2'
_cell_length_a 4.465
_cell_length_b 4.465
_cell_length_c 18.099
_cell_angle_alpha 90.00
_cell_angle_beta 90.00
_cell_angle_gamma 90.00
loop_
_atom_site_label
_atom_site_fract_x
_atom_site_fract_y
_atom_site_fract_z
Li1 0.000 0.000 0.000
Mg1 0.000 0.500 0.123
Mg2 0.000 0.500 0.374
Mg3 0.500 0.500 0.000
Mg4 0.500 0.500 0.250
Mg5 0.500 0.500 0.500
In1 0.000 0.000 0.247
In2 0.000 0.000 0.500
# ρ: 2960 kg/m³
# DFT formation energy: -0.06 eV per atom
# Magnetic moment: 0.000 μB/atom

---

Entry 10:
# Rb2CaGeF6 PBE relaxed
data_Rb2CaGeF6
_symmetry_space_group_name_H-M 'F m -3 m'
_symmetry_Int_Tables_number 225
_symmetry_space_group_name_Hall '-F 4 2 3'
_cell_length_a 9.009
_cell_length_b 9.009
_cell_length_c 9.009
_cell_angle_alpha 90.00
_cell_angle_beta 90.00
_cell_angle_gamma 90.00
loop_
_atom_site_label
_atom_site_fract_x
_atom_site_fract_y
_atom_site_fract_z
Rb1 0.250 0.250 0.250
Ca1 0.000 0.000 0.000
Ge1 0.000 0.000 0.500
F1 0.000 0.000 0.250
# Raw total energy: -4.88 eV per atom
# ρ: 3612 kg/m³
# Magnetic moment: 0.000 μB/atom

---

Entry 11:
# BaZn2Br PBE relaxed
data_BaZn2Br
_symmetry_space_group_name_H-M 'I -4 2 d'
_symmetry_Int_Tables_number 122
_symmetry_space_group_name_Hall 'I -4 2bw'
_cell_length_a 9.310
_cell_length_b 9.310
_cell_length_c 6.251
_cell_angle_alpha 90.00
_cell_angle_beta 90.00
_cell_angle_gamma 90.00
loop_
_atom_site_label
_atom_site_fract_x
_atom_site_fract_y
_atom_site_fract_z
Ba1 0.000 0.000 0.000
Zn1 0.234 0.250 0.625
Br1 0.000 0.000 0.500
# Excess energy over the best structure of this formula in the dataset: 0.204 eV/atom
# ρ: 4267 kg/m³
# Magnetic moment: 0.000 μB/atom

---

Entry 12:
# NaBeB2O4 PBE relaxed
data_NaBeB2O4
_symmetry_space_group_name_H-M 'I 2 2 2'
_symmetry_Int_Tables_number 23
_symmetry_space_group_name_Hall 'I 2 2'
_cell_length_a 4.449
_cell_length_b 6.146
_cell_length_c 6.579
_cell_angle_alpha 90.00
_cell_angle_beta 90.00
_cell_angle_gamma 90.00
loop_
_atom_site_label
_atom_site_fract_x
_atom_site_fract_y
_atom_site_fract_z
Na1 0.000 0.000 0.000
Be1 0.000 0.500 0.000
B1 0.000 0.237 0.500
O1 0.248 0.181 0.407
# Raw total energy: -6.59 eV per atom
# ρ: 2171 kg/m³
# Magnetic moment: 0.118 μB/atom

---

Entry 13:
# BaAs2Pt PBE relaxed
data_BaAs2Pt
_symmetry_space_group_name_H-M 'P 1 2/m 1'
_symmetry_Int_Tables_number 10
_symmetry_space_group_name_Hall '-P 2y'
_cell_length_a 4.850
_cell_length_b 4.122
_cell_length_c 5.352
_cell_angle_alpha 90.00
_cell_angle_beta 101.10
_cell_angle_gamma 90.00
loop_
_atom_site_label
_atom_site_fract_x
_atom_site_fract_y
_atom_site_fract_z
Ba1 0.000 0.000 0.000
As1 0.255 0.500 0.626
Pt1 0.500 0.000 0.500
# ρ: 7629 kg/m³
# DFT formation energy: -0.84 eV per atom
# Magnetic moment: 0.000 μB/atom

---

Entry 14:
# VZnGe2H PBE relaxed
data_VZnGe2H
_symmetry_space_group_name_H-M 'P 4/m m m'
_symmetry_Int_Tables_number 123
_symmetry_space_group_name_Hall '-P 4 2'
_cell_length_a 4.609
_cell_length_b 4.609
_cell_length_c 4.882
_cell_angle_alpha 90.00
_cell_angle_beta 90.00
_cell_angle_gamma 90.00
loop_
_atom_site_label
_atom_site_fract_x
_atom_site_fract_y
_atom_site_fract_z
V1 0.000 0.000 0.000
Zn1 0.000 0.000 0.500
Ge1 0.000 0.500 0.500
H1 0.500 0.500 0.000
# Raw total energy: -3.15 eV per atom
# ρ: 4206 kg/m³
# Magnetic moment: 0.069 μB/atom

---

Entry 15:
# Cu2OsSe PBE relaxed
data_Cu2OsSe
_symmetry_space_group_name_H-M 'F -4 3 m'
_symmetry_Int_Tables_number 216
_symmetry_space_group_name_Hall 'F -4 2 3'
_cell_length_a 6.087
_cell_length_b 6.087
_cell_length_c 6.087
_cell_angle_alpha 90.00
_cell_angle_beta 90.00
_cell_angle_gamma 90.00
loop_
_atom_site_label
_atom_site_fract_x
_atom_site_fract_y
_atom_site_fract_z
Cu1 0.000 0.000 0.000
Cu2 0.250 0.250 0.250
Os1 0.000 0.000 0.500
Se1 0.250 0.250 0.750
# Raw total energy: -5.13 eV per atom
# ρ: 11669 kg/m³
# Magnetic moment: 0.000 μB/atom

---

Entry 16:
# Pm2SmIn2 PBE relaxed
data_Pm2SmIn2
_symmetry_space_group_name_H-M 'P 1 21/m 1'
_symmetry_Int_Tables_number 11
_symmetry_space_group_name_Hall '-P 2yb'
_cell_length_a 6.827
_cell_length_b 5.182
_cell_length_c 9.381
_cell_angle_alpha 90.00
_cell_angle_beta 111.31
_cell_angle_gamma 90.00
loop_
_atom_site_label
_atom_site_fract_x
_atom_site_fract_y
_atom_site_fract_z
Pm1 0.047 0.250 0.092
Pm2 0.229 0.250 0.457
Sm1 0.415 0.750 0.832
In1 0.101 0.250 0.753
In2 0.349 0.750 0.246
# Excess energy over the best structure of this formula in the dataset: 0.115 eV/atom
# ρ: 7197 kg/m³
# DFT formation energy: -0.27 eV per atom
# Magnetic moment: 0.000 μB/atom

---

Entry 17:
# TiPIN2 PBE relaxed
data_TiPIN2
_symmetry_space_group_name_H-M 'P 4/m m m'
_symmetry_Int_Tables_number 123
_symmetry_space_group_name_Hall '-P 4 2'
_cell_length_a 3.884
_cell_length_b 3.884
_cell_length_c 6.377
_cell_angle_alpha 90.00
_cell_angle_beta 90.00
_cell_angle_gamma 90.00
loop_
_atom_site_label
_atom_site_fract_x
_atom_site_fract_y
_atom_site_fract_z
Ti1 0.000 0.000 0.000
P1 0.500 0.500 0.500
I1 0.000 0.000 0.500
N1 0.000 0.500 0.000
# Excess energy over the best structure of this formula in the dataset: 0.000 eV/atom
# ρ: 4035 kg/m³
# Magnetic moment: 0.000 μB/atom

---

Entry 18:
# MnAgPd2N PBE relaxed
data_MnAgPd2N
_symmetry_space_group_name_H-M 'P 4/m m m'
_symmetry_Int_Tables_number 123
_symmetry_space_group_name_Hall '-P 4 2'
_cell_length_a 4.294
_cell_length_b 4.294
_cell_length_c 3.835
_cell_angle_alpha 90.00
_cell_angle_beta 90.00
_cell_angle_gamma 90.00
loop_
_atom_site_label
_atom_site_fract_x
_atom_site_fract_y
_atom_site_fract_z
Mn1 0.000 0.000 0.000
Ag1 0.500 0.500 0.000
Pd1 0.000 0.500 0.500
N1 0.000 0.000 0.500
# Raw total energy: -6.15 eV per atom
# ρ: 9151 kg/m³
# Magnetic moment: 0.722 μB/atom

---

Entry 19:
# AcEr2Ag6 PBE relaxed
data_AcEr2Ag6
_symmetry_space_group_name_H-M 'P 6/m m m'
_symmetry_Int_Tables_number 191
_symmetry_space_group_name_Hall '-P 6 2'
_cell_length_a 8.3133
_cell_length_b 8.3133
_cell_length_c 3.5669
_cell_angle_alpha 90.00
_cell_angle_beta 90.00
_cell_angle_gamma 120.00
loop_
_atom_site_label
_atom_site_fract_x
_atom_site_fract_y
_atom_site_fract_z
Ac1 0.0000 0.0000 0.0000
Er1 0.3333 0.6667 0.0000
Ag1 0.0000 0.3383 0.5000
# ρ: 9402 kg/m³
# DFT formation energy: -0.23 eV per atom
# Magnetic moment: 0.000 μB/atom

---

Entry 20:
# NaTe3N PBE relaxed
data_NaTe3N
_symmetry_space_group_name_H-M 'P m -3 m'
_symmetry_Int_Tables_number 221
_symmetry_space_group_name_Hall '-P 4 2 3'
_cell_length_a 4.855
_cell_length_b 4.855
_cell_length_c 4.855
_cell_angle_alpha 90.00
_cell_angle_beta 90.00
_cell_angle_gamma 90.00
loop_
_atom_site_label
_atom_site_fract_x
_atom_site_fract_y
_atom_site_fract_z
Na1 0.000 0.000 0.000
Te1 0.000 0.500 0.500
N1 0.500 0.500 0.500
# Excess energy over the best structure of this formula in the dataset: 0.000 eV/atom
# ρ: 6091 kg/m³
# Magnetic moment: 0.000 μB/atom